1.
NaAgTe2N: relaxed, GGA-PBE.

Summary:
As for the total DFT energy (no corrections): -3.0784 eV/atom. For the offset from the most stable computed form, the calculation gives 0.0 meV/atom.

a = 5.795 Å, b = 5.795 Å, c = 3.956 Å
α = 90.00°, β = 90.00°, γ = 90.00°
Atoms (fractional coordinates):
N  0.000  0.000  0.500
Na  0.500  0.500  0.500
Ag  0.000  0.000  0.000
Te  0.000  0.500  0.000
Te  0.500  0.000  0.000



2.
NaY2AgN: relaxed, GGA-PBE.

Summary:
As for the total DFT energy (no corrections): -5.5976 eV/atom.

a = 4.710 Å, b = 4.710 Å, c = 4.927 Å
α = 90.00°, β = 90.00°, γ = 90.00°
Atoms (fractional coordinates):
N  0.000  0.000  0.000
Na  0.000  0.000  0.500
Y  0.500  0.000  0.000
Y  0.000  0.500  0.000
Ag  0.500  0.500  0.500



3.
Nb3AgN: relaxed, GGA-PBE.

Summary:
As for the total DFT energy (no corrections): -5.4225 eV/atom. For the offset from the most stable computed form, the calculation gives 3188.7 meV/atom.

a = 4.896 Å, b = 4.896 Å, c = 4.896 Å
α = 90.00°, β = 90.00°, γ = 90.00°
Atoms (fractional coordinates):
Nb  0.500  0.000  0.000
Nb  0.000  0.000  0.500
Nb  0.000  0.500  0.000
Ag  0.000  0.000  0.000
N  0.500  0.500  0.500



4.
Nb2AgN: relaxed, GGA-PBE.

Summary:
As for the total DFT energy (no corrections): -7.8956 eV/atom.

a = 3.075 Å, b = 3.075 Å, c = 8.373 Å
α = 79.42°, β = 79.42°, γ = 60.00°
Atoms (fractional coordinates):
Ag  0.000  0.000  0.000
Nb  0.117  0.117  0.648
Nb  0.883  0.883  0.352
N  0.500  0.500  0.500



5.
Nb3AgN: relaxed, GGA-PBE.

Summary:
As for the total DFT energy (no corrections): -8.6112 eV/atom. For the offset from the most stable computed form, the calculation gives 0.0 meV/atom.

a = 4.286 Å, b = 4.286 Å, c = 4.286 Å
α = 90.00°, β = 90.00°, γ = 90.00°
Atoms (fractional coordinates):
Nb  0.000  0.500  0.000
Nb  0.500  0.000  0.000
Nb  0.000  0.000  0.500
Ag  0.500  0.500  0.500
N  0.000  0.000  0.000



6.
Nb2AgN: relaxed, GGA-PBE.

Summary:
As for the total DFT energy (no corrections): -7.6194 eV/atom.

a = 5.341 Å, b = 5.341 Å, c = 6.533 Å
α = 65.88°, β = 65.88°, γ = 90.00°
Atoms (fractional coordinates):
Ag  0.000  0.000  0.000
Ag  0.750  0.250  0.500
Nb  0.375  0.492  0.750
Nb  0.875  0.758  0.750
Nb  0.242  0.625  0.250
Nb  0.508  0.125  0.250
N  0.500  0.500  0.000
N  0.250  0.750  0.500



7.
NbAgN2O: relaxed, GGA-PBE.

Summary:
As for the total DFT energy (no corrections): -6.8913 eV/atom.

a = 4.149 Å, b = 4.149 Å, c = 4.000 Å
α = 90.00°, β = 90.00°, γ = 90.00°
Atoms (fractional coordinates):
Ag  0.500  0.500  0.500
N  0.000  0.500  0.000
N  0.500  0.000  0.000
O  0.000  0.000  0.500
Nb  0.000  0.000  0.000



8.
NbAgN2O: relaxed, GGA-PBE.

Summary:
As for the total DFT energy (no corrections): -5.5114 eV/atom.

a = 3.960 Å, b = 3.960 Å, c = 3.916 Å
α = 90.00°, β = 90.00°, γ = 90.00°
Atoms (fractional coordinates):
Nb  0.500  0.500  0.500
N  0.000  0.500  0.000
N  0.500  0.000  0.000
Ag  0.000  0.000  0.000
O  0.000  0.000  0.500



9.
NbAgNO2: relaxed, GGA-PBE.

Summary:
As for the total DFT energy (no corrections): -5.3879 eV/atom.

a = 3.962 Å, b = 3.962 Å, c = 4.003 Å
α = 90.00°, β = 90.00°, γ = 90.00°
Atoms (fractional coordinates):
Nb  0.500  0.500  0.500
Ag  0.000  0.000  0.000
N  0.000  0.000  0.500
O  0.500  0.000  0.000
O  0.000  0.500  0.000



10.
NbAgNO2: relaxed, GGA-PBE.

Summary:
As for the total DFT energy (no corrections): -7.0422 eV/atom.

a = 4.004 Å, b = 4.004 Å, c = 4.162 Å
α = 90.00°, β = 90.00°, γ = 90.00°
Atoms (fractional coordinates):
Ag  0.500  0.500  0.500
O  0.000  0.500  0.000
O  0.500  0.000  0.000
Nb  0.000  0.000  0.000
N  0.000  0.000  0.500



11.
PaNb4AgN8: relaxed, GGA-PBE.

Summary:
As for the total DFT energy (no corrections): -9.1447 eV/atom.

a = 6.496 Å, b = 6.496 Å, c = 6.330 Å
α = 59.13°, β = 59.13°, γ = 60.00°
Atoms (fractional coordinates):
Nb  0.491  0.010  0.490
Nb  0.626  0.626  0.122
Nb  0.010  0.491  0.490
Nb  0.010  0.010  0.490
N  0.237  0.237  0.720
N  0.237  0.805  0.720
N  0.260  0.713  0.315
N  0.713  0.713  0.315
N  0.805  0.237  0.720
N  0.758  0.758  0.726
N  0.249  0.249  0.253
N  0.713  0.260  0.315
Ag  0.980  0.980  0.060
Pa  0.412  0.412  0.764



12.
PmNb4AgN8: relaxed, GGA-PBE.

Summary:
As for the total DFT energy (no corrections): -8.7516 eV/atom.

a = 6.505 Å, b = 6.505 Å, c = 6.456 Å
α = 59.75°, β = 59.75°, γ = 60.00°
Atoms (fractional coordinates):
Nb  0.007  0.007  0.503
Nb  0.484  0.007  0.503
Nb  0.007  0.484  0.503
Nb  0.624  0.624  0.128
N  0.260  0.721  0.297
N  0.721  0.260  0.297
N  0.721  0.721  0.297
N  0.761  0.761  0.716
N  0.242  0.242  0.273
N  0.820  0.239  0.702
N  0.239  0.820  0.702
N  0.239  0.239  0.702
Pm  0.393  0.393  0.820
Ag  0.981  0.981  0.058



E_form (uncorrected) / eV per formula unit: 3.4; -2.6; 14.3; -0.3; -1.7; 0.8; 0.1; 7.0; 4.2; -4.0; -8.8; -8.0